No. 1
V2ZnHgPt | PBE | optimized geometry

Cell and atoms, written as extended XYZ:
```
5
Lattice="4.508 0.000 0.000 0.000 4.508 0.000 0.000 0.000 4.651" Properties=species:S:1:pos:R:3 pbc="T T T"
V 0.000 2.254 0.000
V 2.254 0.000 0.000
Zn 0.000 0.000 0.000
Hg 0.000 0.000 2.325
Pt 2.254 2.254 2.325
```

Calculated values
Raw total energy: -19.7 eV per formula unit

***

No. 2
HgPtW3 | PBE | optimized geometry

Cell and atoms, written as extended XYZ:
```
5
Lattice="4.845 0.000 0.000 0.000 4.845 0.000 0.000 0.000 4.845" Properties=species:S:1:pos:R:3 pbc="T T T"
Hg 0.000 0.000 0.000
Pt 2.422 2.422 2.422
W 0.000 0.000 2.422
W 0.000 2.422 0.000
W 2.422 0.000 0.000
```

Calculated values
Raw total energy: -29.6 eV per formula unit
Polymorph energy (0 for the lowest one): 1038.2 meV/atom

***

No. 3
HgPtW3 | PBE | optimized geometry

Cell and atoms, written as extended XYZ:
```
5
Lattice="4.805 0.000 0.000 0.000 4.805 0.000 0.000 0.000 4.805" Properties=species:S:1:pos:R:3 pbc="T T T"
Hg 0.000 0.000 0.000
Pt 2.402 2.402 2.402
W 0.000 2.402 2.402
W 2.402 0.000 2.402
W 2.402 2.402 0.000
```

Calculated values
Raw total energy: -34.8 eV per formula unit
Polymorph energy (0 for the lowest one): 0.0 meV/atom

***

No. 4
HgPt3W | PBE | optimized geometry

Cell and atoms, written as extended XYZ:
```
5
Lattice="4.883 0.000 0.000 0.000 4.883 0.000 0.000 0.000 4.883" Properties=species:S:1:pos:R:3 pbc="T T T"
Hg 0.000 0.000 0.000
Pt 0.000 2.442 2.442
Pt 2.442 0.000 2.442
Pt 2.442 2.442 0.000
W 2.442 2.442 2.442
```

Calculated values
Raw total energy: -26.0 eV per formula unit
Polymorph energy (0 for the lowest one): 0.0 meV/atom